Entry 1:
Entry from Alexandria via LeMat-Bulk: an optimized crystal structure of ZrTlTc2 (PBE).

The symmetry is No. 44.

```
data_ZrTlTc2
_symmetry_space_group_name_H-M 'P 1'
_symmetry_Int_Tables_number 1
_cell_length_a 5.535
_cell_length_b 5.535
_cell_length_c 4.550
_cell_angle_alpha 65.79
_cell_angle_beta 65.79
_cell_angle_gamma 35.14
loop_
_symmetry_equiv_pos_as_xyz
'x,y,z'
loop_
_atom_site_label
_atom_site_fract_x
_atom_site_fract_y
_atom_site_fract_z
_atom_site_occupancy
Tc1 0.734 0.734 0.765 1
Tc2 0.013 0.013 0.988 1
Tl1 0.490 0.490 0.511 1
Zr1 0.263 0.263 0.236 1
```

=====

Entry 2:
Entry from Alexandria via LeMat-Bulk: an optimized crystal structure of ZrTlTc2 (PBE).

The symmetry is No. 25.

```
data_ZrTlTc2
_symmetry_space_group_name_H-M 'P 1'
_symmetry_Int_Tables_number 1
_cell_length_a 4.002
_cell_length_b 3.089
_cell_length_c 6.696
_cell_angle_alpha 62.58
_cell_angle_beta 90.00
_cell_angle_gamma 90.00
loop_
_symmetry_equiv_pos_as_xyz
'x,y,z'
loop_
_atom_site_label
_atom_site_fract_x
_atom_site_fract_y
_atom_site_fract_z
_atom_site_occupancy
Zr1 0.500 0.717 0.783 1
Tl1 0.000 0.511 0.488 1
Tc1 0.500 0.288 0.211 1
Tc2 0.000 0.983 0.017 1
```

=====

For the records above, the corresponding DFT formation energy values read 0.1698 0.1765 eV per atom.
For the records above, the corresponding DOS at the Fermi energy values read 5.02 2.51 states/eV/cell.